[1]
Na2Zr2Ga2NiPd (PBE-GGA, relaxed); final energy = -4.744 eV per atom
1.0
-1.162 0.411 -4.384
-0.353 -4.528 -0.331
-6.246 0.364 1.689
Ga Na Ni Pd Zr
2 2 1 1 2
Direct
0.500 0.000 0.244 Ga
0.000 0.500 0.756 Ga
0.500 0.500 0.000 Na
0.000 0.000 0.500 Na
0.000 0.000 0.000 Ni
0.500 0.500 0.500 Pd
0.000 0.500 0.239 Zr
0.500 0.000 0.761 Zr


[2]
Na2Zn2Ga2NiPt (PBE-GGA, relaxed); final energy = -2.993 eV per atom
1.0
-3.428 2.562 1.188
-2.200 -3.594 1.403
2.506 0.699 5.721
Ga Na Ni Pt Zn
2 2 1 1 2
Direct
0.000 0.500 0.261 Ga
0.500 0.000 0.739 Ga
0.000 0.000 0.000 Na
0.500 0.500 0.500 Na
0.000 0.000 0.500 Ni
0.500 0.500 0.000 Pt
0.500 0.000 0.261 Zn
0.000 0.500 0.739 Zn